A geometry-optimized LiP2Pt structure, computed with PBE-GGA.

Properties
As for the relative energy among the computed polymorphs: 1.21 eV/f.u. Its symmetry is I-4m2 (119).

abc: 4.740 4.740 4.740
angles: 133.20 133.20 68.34
Fractional positions:
1 Li 0.000 0.000 0.000
2 P 0.250 0.750 0.500
3 P 0.500 0.500 0.000
4 Pt 0.750 0.250 0.500


A geometry-optimized LiPPt2 structure, computed with PBE-GGA.

Properties
Its symmetry is R3m (160).

abc: 8.171 8.171 8.171
angles: 21.16 21.16 21.16
Fractional positions:
1 Li 0.000 0.000 0.000
2 P 0.244 0.244 0.244
3 Pt 0.511 0.511 0.511
4 Pt 0.750 0.750 0.750


A geometry-optimized LiPPt3 structure, computed with PBE-GGA.

Properties
As for the relative energy among the computed polymorphs: 6.20 eV/f.u. Its symmetry is Pm-3m (221).

abc: 4.262 4.262 4.262
angles: 90.00 90.00 90.00
Fractional positions:
1 Li 0.000 0.000 0.000
2 P 0.500 0.500 0.500
3 Pt 0.000 0.000 0.500
4 Pt 0.000 0.500 0.000
5 Pt 0.500 0.000 0.000


A geometry-optimized Li2PPt5 structure, computed with PBE-GGA.

Properties
Its symmetry is Pbam (55).

abc: 5.415 10.312 3.964
angles: 90.00 90.00 90.00
Fractional positions:
1 Li 0.169 0.143 0.000
2 Li 0.331 0.643 0.000
3 Li 0.669 0.357 0.000
4 Li 0.831 0.857 0.000
5 P 0.000 0.500 0.500
6 P 0.500 0.000 0.500
7 Pt 0.000 0.000 0.500
8 Pt 0.075 0.734 0.500
9 Pt 0.191 0.397 0.000
10 Pt 0.309 0.897 0.000
11 Pt 0.425 0.234 0.500
12 Pt 0.500 0.500 0.500
13 Pt 0.575 0.766 0.500
14 Pt 0.691 0.103 0.000
15 Pt 0.809 0.603 0.000
16 Pt 0.925 0.266 0.500


A geometry-optimized Li2P2Pt structure, computed with PBE-GGA.

Properties
As for the relative energy among the computed polymorphs: 2.82 eV/f.u. Its symmetry is Immm (71).

abc: 7.215 7.215 7.215
angles: 156.56 152.08 36.77
Fractional positions:
1 Li 0.196 0.196 0.000
2 Li 0.804 0.804 0.000
3 P 0.394 0.394 0.000
4 P 0.606 0.606 0.000
5 Pt 0.000 0.000 0.000


A geometry-optimized Li2PPt4 structure, computed with PBE-GGA.

Properties
As for the relative energy among the computed polymorphs: 3.34 eV/f.u. Its symmetry is I4/mmm (139).

abc: 7.094 7.094 7.094
angles: 143.37 143.37 52.77
Fractional positions:
1 Li 0.124 0.124 0.000
2 Li 0.876 0.876 0.000
3 P 0.500 0.500 0.000
4 Pt 0.000 0.500 0.500
5 Pt 0.323 0.323 0.000
6 Pt 0.500 0.000 0.500
7 Pt 0.677 0.677 0.000


A geometry-optimized LiPPt structure, computed with PBE-GGA.

Properties
Its symmetry is Imm2 (44).

abc: 4.959 4.959 4.959
angles: 141.58 141.41 55.59
Fractional positions:
1 Li 0.000 0.000 0.000
2 P 0.296 0.296 0.000
3 Pt 0.704 0.704 0.000


A geometry-optimized Li2PPt2 structure, computed with PBE-GGA.

Properties
As for the relative energy among the computed polymorphs: 0.00 eV/f.u. Its symmetry is C2/c (15).

abc: 5.345 5.345 6.991
angles: 100.02 100.02 57.69
Fractional positions:
1 Li 0.031 0.271 0.158
2 Li 0.271 0.031 0.658
3 Li 0.729 0.969 0.342
4 Li 0.969 0.729 0.842
5 P 0.371 0.629 0.250
6 P 0.629 0.371 0.750
7 Pt 0.242 0.502 0.501
8 Pt 0.498 0.758 0.999
9 Pt 0.502 0.242 0.001
10 Pt 0.758 0.498 0.499


Number 1: DFT formation energy -15.0 kJ/mol of atoms, total magnetic moment 0.00 μB/atom. Number 2: DFT formation energy -23.2 kJ/mol of atoms, total magnetic moment 0.00 μB/atom. Number 3: DFT formation energy 66.3 kJ/mol of atoms, total magnetic moment 0.00 μB/atom. Number 4: DFT formation energy -53.4 kJ/mol of atoms, total magnetic moment 0.00 μB/atom. Number 5: DFT formation energy -14.8 kJ/mol of atoms, total magnetic moment 0.00 μB/atom. Number 6: DFT formation energy 1.2 kJ/mol of atoms, total magnetic moment 0.00 μB/atom. Number 7: DFT formation energy -48.5 kJ/mol of atoms, total magnetic moment 0.00 μB/atom. Number 8: DFT formation energy -65.8 kJ/mol of atoms, total magnetic moment 0.00 μB/atom.